{"formula": "ZnNiF", "functional": "PBE with a Hubbard U", "state": "optimized geometry", "dft_energy_ev_per_atom": -2.55, "density_g_cm3": 6.27, "volume_a3_per_atom": 12.6, "lattice_angstrom": [[-1.2429, 0.8289, 2.3342], [-0.8692, -2.2897, -1.2949], [7.3237, -6.2387, 6.1150]], "species": ["Zn", "Zn", "Ni", "Ni", "F", "F"], "fractional_positions": [[0.3027, 0.6053, 0.0000], [0.3705, 0.7410, 0.5000], [0.6892, 0.3783, 0.3193], [0.6892, 0.3783, 0.6807], [0.3076, 0.6151, 0.8019], [0.3076, 0.6151, 0.1981]]}